Compound: Tl2CdSi
Source: Alexandria via LeMat-Bulk
Functional: PBE
Structure: relaxed

Cell: 3.3471 3.3471 9.0700 Å, 90.00 90.00 90.00°
With the nearest neighbours (Å) after each atom.
Space group P4/mmm (No. 123)
Symmetry-distinct sites (fractional):
Tl: 0.0000 0.0000 0.2311 x2  4 Si 3.16, 4 Tl 3.35, 4 Cd 3.40
Cd: 0.5000 0.5000 0.5000 x1  4 Cd 3.35, 8 Tl 3.40
Si: 0.5000 0.5000 0.0000 x1  8 Tl 3.16, 4 Si 3.35

Properties
Crystal system: tetragonal
Formation energy without anion corrections, eV per formula unit: 1.3
Calculated total energy, eV/atom: -2.43
Volume, Å³/cell: 101.6
E above lowest polymorph, meV/atom: 69.2